Computed, not measured: LaTc2Ru2 after structural relaxation at the PBE-GGA level of DFT.

Properties
Energy above the most stable polymorph in this dataset = 0.120 eV per atom
Density of states at the Fermi level = 1.076 states/eV/atom
Crystal system = tetragonal
Energy of formation = 0.91 eV per formula unit

a = 7.825 Å, b = 7.825 Å, c = 2.803 Å
α = 90.00°, β = 90.00°, γ = 90.00°
Space group P4/mbm (No. 127)
One atom of each set of equivalent atoms:
La 0.000 0.000 0.000 (multiplicity 2)
Tc 0.168 0.332 0.500 (multiplicity 4)
Ru 0.120 0.620 0.000 (multiplicity 4)

***

Computed, not measured: La2Tc2Ru after structural relaxation at the PBE-GGA level of DFT.

Properties
Density of states at the Fermi level = 1.661 states/eV/atom
Crystal system = tetragonal
Energy of formation = 0.90 eV per formula unit

a = 6.665 Å, b = 6.665 Å, c = 4.926 Å
α = 90.00°, β = 90.00°, γ = 90.00°
Space group P4/mbm (No. 127)
One atom of each set of equivalent atoms:
La 0.185 0.315 0.000 (multiplicity 4)
Tc 0.129 0.629 0.500 (multiplicity 4)
Ru 0.000 0.000 0.500 (multiplicity 2)

***

Computed, not measured: La3TcRu after structural relaxation at the PBE-GGA level of DFT.

Properties
Energy above the most stable polymorph in this dataset = 0.000 eV per atom
Density of states at the Fermi level = 0.513 states/eV/atom
Crystal system = cubic
Energy of formation = 2.41 eV per formula unit

a = 5.301 Å, b = 5.301 Å, c = 5.301 Å
α = 90.00°, β = 90.00°, γ = 90.00°
Space group Pm-3m (No. 221)
One atom of each set of equivalent atoms:
La 0.000 0.000 0.500 (multiplicity 3)
Tc 0.000 0.000 0.000 (multiplicity 1)
Ru 0.500 0.500 0.500 (multiplicity 1)